The following is a GGA-PBEsol calculation of a geometry-optimized GePbO3 structure, from the Alexandria database. Values from VASP.

Values from the calculation:
The energy is -193.366 eV/cell. The calculation puts the volume at 509 Å³ per cell. The space-group type is R-3 (148). Its density of states at the Fermi level is 0.00 states/eV/cell. The value obtained for the formation energy without anion corrections is -1508 meV per atom.

The structure in Quantum ESPRESSO input format:
```
&SYSTEM
  ibrav = 0, nat = 30, ntyp = 3
/
ATOMIC_SPECIES
Ge 72.64 Ge.upf
Pb 207.20 Pb.upf
O 16.00 O.upf
CELL_PARAMETERS angstrom
-1.268 -7.038 -1.238
0.952 0.697 9.247
-7.505 4.429 -3.311
ATOMIC_POSITIONS angstrom
Ge -6.008 -0.034 -1.794
Ge -4.142 1.387 4.499
Ge -3.679 -3.299 0.200
Ge -1.455 -3.722 2.427
Ge -6.366 1.811 2.272
Ge -1.813 -1.878 6.493
Pb -6.359 -3.786 -2.070
Pb -0.970 -0.138 3.520
Pb -6.851 -1.773 1.178
Pb -3.540 0.175 0.891
Pb -1.462 1.874 6.769
Pb -4.281 -2.087 3.808
O -4.782 -4.430 -0.546
O -2.094 -2.277 3.171
O -5.366 2.360 3.648
O -3.363 0.262 3.405
O -2.858 -2.263 -1.004
O -4.458 -2.174 1.294
O -6.430 3.189 1.192
O -7.336 1.123 -1.484
O -1.391 -5.101 3.507
O -0.485 -3.035 6.183
O -2.455 -4.272 1.051
O -5.727 0.365 1.528
O -3.039 2.518 5.245
O -4.567 0.784 -1.225
O -3.254 -2.695 5.923
O -6.288 -1.579 -1.029
O -1.533 -0.333 5.728
O -4.963 0.352 5.703
```


The following is a GGA-PBEsol calculation of a geometry-optimized Ge2PbO structure, from the Alexandria database. Values from VASP.

Values from the calculation:
The energy is -17.567 eV/cell. The calculation puts the volume at 72 Å³ per cell. The space-group type is Fm-3m (225). Its density of states at the Fermi level is 2.54 states/eV/cell. The value obtained for the formation energy without anion corrections is 390 meV per atom.

The structure in Quantum ESPRESSO input format:
```
&SYSTEM
  ibrav = 0, nat = 4, ntyp = 3
/
ATOMIC_SPECIES
Ge 72.64 Ge.upf
O 16.00 O.upf
Pb 207.20 Pb.upf
CELL_PARAMETERS angstrom
4.659 0.000 0.000
2.330 4.035 0.000
2.330 1.345 3.804
ATOMIC_POSITIONS angstrom
Ge 2.330 1.345 0.951
Ge 6.989 4.035 2.853
O 0.000 0.000 0.000
Pb 4.659 2.690 1.902
```


The following is a GGA-PBEsol calculation of a geometry-optimized GePb3O5 structure, from the Alexandria database. Values from VASP.

Values from the calculation:
The energy is -110.293 eV/cell. The calculation puts the volume at 299 Å³ per cell. The space-group type is P2_1 (4). Its density of states at the Fermi level is 0.00 states/eV/cell. The value obtained for the formation energy without anion corrections is -1329 meV per atom. The value obtained for the relative energy among the computed polymorphs is 0 meV per atom.

The structure in Quantum ESPRESSO input format:
```
&SYSTEM
  ibrav = 0, nat = 18, ntyp = 3
/
ATOMIC_SPECIES
O 16.00 O.upf
Pb 207.20 Pb.upf
Ge 72.64 Ge.upf
CELL_PARAMETERS angstrom
-0.153 -1.817 -4.914
-0.916 -4.925 2.211
-10.276 1.763 -0.332
ATOMIC_POSITIONS angstrom
O -3.546 -2.962 -0.358
O -4.088 -5.061 -2.477
O -8.523 0.300 -0.599
O -8.580 -1.883 -2.703
O -10.719 -3.875 -1.339
O -4.810 -0.386 -1.832
O -3.940 -2.426 -3.491
O -1.540 -4.108 -3.468
O -9.325 -2.223 0.394
O -6.506 -1.437 0.539
Pb -0.901 -4.737 1.985
Pb -10.665 -1.598 -1.710
Pb -2.675 -0.588 -2.502
Pb -8.685 -4.389 -0.534
Pb -5.353 -1.116 -4.856
Pb -5.541 -2.547 -1.483
Ge -3.283 -4.058 -3.705
Ge -8.177 -0.901 0.666
```